(1)
NaTbZnSe3: relaxed, GGA-PBE.

Unit cell a=11.5880 b=4.1339 c=12.1888 alpha=90.00 beta=90.00 gamma=90.00
Fractional coordinates of all 24 atoms:
Zn1 0.7521 0.5000 0.2914
Zn2 0.2521 0.5000 0.2086
Zn3 0.2479 0.0000 0.7086
Zn4 0.7479 0.0000 0.7914
Tb1 0.0253 0.0000 0.3187
Tb2 0.9747 0.5000 0.6813
Tb3 0.4747 0.5000 0.8187
Tb4 0.5253 0.0000 0.1813
Se1 0.9493 0.0000 0.8488
Se2 0.2810 0.0000 0.3220
Se3 0.5999 0.0000 0.9340
Se4 0.2190 0.5000 0.8220
Se5 0.0999 0.0000 0.5660
Se6 0.5507 0.5000 0.3488
Se7 0.4493 0.0000 0.6512
Se8 0.7810 0.0000 0.1780
Se9 0.0507 0.5000 0.1512
Se10 0.4001 0.5000 0.0660
Se11 0.7190 0.5000 0.6780
Se12 0.9001 0.5000 0.4340
Na1 0.3371 0.5000 0.5004
Na2 0.8371 0.5000 0.9996
Na3 0.6629 0.0000 0.4996
Na4 0.1629 0.0000 0.0004

Results
theoretical density = 5.51 g/cm3
total magnetic moment = 0.0 μB/cell
VASP energy = -4.231 eV/atom
SG = Pnma
relative energy among the computed polymorphs = 32 meV/atom
volume = 24.329 Å³/atom


(2)
NaTbZnSe3: relaxed, GGA-PBE.

Unit cell a=7.1397 b=7.1397 c=10.9846 alpha=90.00 beta=90.00 gamma=146.96
Fractional coordinates of all 12 atoms:
Tb1 0.0000 0.0000 0.5000
Tb2 0.0000 0.0000 0.0000
Se1 0.9199 0.0801 0.2500
Se2 0.6374 0.3626 0.4300
Se3 0.6374 0.3626 0.0700
Se4 0.3626 0.6374 0.9300
Se5 0.0801 0.9199 0.7500
Se6 0.3626 0.6374 0.5700
Zn1 0.4681 0.5319 0.7500
Zn2 0.5319 0.4681 0.2500
Na1 0.7567 0.2433 0.7500
Na2 0.2433 0.7567 0.2500

Results
theoretical density = 5.27 g/cm3
total magnetic moment = 0.0 μB/cell
VASP energy = -4.263 eV/atom
SG = Cmcm
relative energy among the computed polymorphs = 0 meV/atom
volume = 25.443 Å³/atom


(3)
NaTbZnSe3: relaxed, GGA-PBE.

Unit cell a=13.9827 b=4.0730 c=11.1612 alpha=90.00 beta=90.00 gamma=90.00
Fractional coordinates of all 24 atoms:
Na1 0.2357 0.2500 0.9332
Na2 0.7357 0.2500 0.5668
Na3 0.2643 0.7500 0.4332
Na4 0.7643 0.7500 0.0668
Se1 0.1084 0.2500 0.4286
Se2 0.9048 0.2500 0.8899
Se3 0.5952 0.7500 0.3899
Se4 0.3916 0.7500 0.9286
Se5 0.6404 0.7500 0.7432
Se6 0.6084 0.2500 0.0714
Se7 0.1404 0.7500 0.7568
Se8 0.8596 0.2500 0.2432
Se9 0.0952 0.7500 0.1101
Se10 0.4048 0.2500 0.6101
Se11 0.8916 0.7500 0.5714
Se12 0.3596 0.2500 0.2568
Zn1 0.5118 0.7500 0.5954
Zn2 0.0118 0.7500 0.9046
Zn3 0.4882 0.2500 0.4046
Zn4 0.9882 0.2500 0.0954
Tb1 0.4808 0.7500 0.1566
Tb2 0.0192 0.2500 0.6566
Tb3 0.9808 0.7500 0.3434
Tb4 0.5192 0.2500 0.8434

Results
theoretical density = 5.06 g/cm3
total magnetic moment = 0.0 μB/cell
VASP energy = -4.252 eV/atom
SG = Pnma
relative energy among the computed polymorphs = 11 meV/atom
volume = 26.486 Å³/atom


(4)
NaTbZnSe3: relaxed, GGA-PBE.

Unit cell a=9.7302 b=9.7302 c=8.1489 alpha=103.13 beta=103.13 gamma=24.13
Fractional coordinates of all 12 atoms:
Zn1 0.5352 0.5352 0.7286
Zn2 0.4648 0.4648 0.2714
Se1 0.3337 0.3337 0.1743
Se2 0.6742 0.6742 0.3436
Se3 0.0000 0.0000 0.5000
Se4 0.5000 0.5000 0.0000
Se5 0.6663 0.6663 0.8257
Se6 0.3258 0.3258 0.6564
Tb1 0.8261 0.8261 0.4148
Tb2 0.1739 0.1739 0.5852
Na1 0.8784 0.8784 0.9268
Na2 0.1216 0.1216 0.0732

Results
theoretical density = 5.24 g/cm3
total magnetic moment = 0.0 μB/cell
VASP energy = -4.156 eV/atom
SG = C2/m
relative energy among the computed polymorphs = 107 meV/atom
volume = 25.565 Å³/atom


(5)
NaTbZnSe3: relaxed, GGA-PBE.

Unit cell a=8.2149 b=4.0760 c=9.8526 alpha=90.00 beta=104.64 gamma=90.00
Fractional coordinates of all 12 atoms:
Na1 0.2198 0.2500 0.7397
Na2 0.7802 0.7500 0.2603
Se1 0.0686 0.2500 0.3482
Se2 0.7723 0.2500 0.9607
Se3 0.2277 0.7500 0.0393
Se4 0.9314 0.7500 0.6518
Se5 0.4414 0.7500 0.6557
Se6 0.5586 0.2500 0.3443
Zn1 0.9188 0.7500 0.8966
Zn2 0.0812 0.2500 0.1034
Tb1 0.3180 0.7500 0.3577
Tb2 0.6820 0.2500 0.6423

Results
theoretical density = 5.04 g/cm3
total magnetic moment = 0.0 μB/cell
VASP energy = -4.254 eV/atom
SG = P2_1/m
relative energy among the computed polymorphs = 9 meV/atom
volume = 26.600 Å³/atom


(6)
NaTbZnSe3: relaxed, GGA-PBE.

Unit cell a=10.9952 b=4.0672 c=13.6160 alpha=90.00 beta=90.00 gamma=90.00
Fractional coordinates of all 24 atoms:
Se1 0.0501 0.7500 0.3816
Se2 0.5901 0.2500 0.6063
Se3 0.7621 0.7500 0.8301
Se4 0.5501 0.7500 0.1184
Se5 0.4099 0.7500 0.3937
Se6 0.2379 0.2500 0.1699
Se7 0.7379 0.2500 0.3301
Se8 0.0901 0.2500 0.8937
Se9 0.9099 0.7500 0.1063
Se10 0.4499 0.2500 0.8816
Se11 0.9499 0.2500 0.6184
Se12 0.2621 0.7500 0.6699
Tb1 0.5151 0.7500 0.7410
Tb2 0.0151 0.7500 0.7590
Tb3 0.4849 0.2500 0.2590
Tb4 0.9849 0.2500 0.2410
Na1 0.7817 0.7500 0.5056
Na2 0.2183 0.2500 0.4944
Na3 0.2817 0.7500 0.9944
Na4 0.7183 0.2500 0.0056
Zn1 0.7355 0.7500 0.2178
Zn2 0.2645 0.2500 0.7822
Zn3 0.2355 0.7500 0.2822
Zn4 0.7645 0.2500 0.7178

Results
theoretical density = 5.28 g/cm3
total magnetic moment = 0.0 μB/cell
VASP energy = -4.262 eV/atom
SG = Pnma
relative energy among the computed polymorphs = 1 meV/atom
volume = 25.371 Å³/atom